## CrGaCu2H (PBE)

Data for CrGaCu2H after structural relaxation.

Cell lengths 3.760, 3.760, 3.830 Å; angles 90.00, 90.00, 90.00 degrees
Fractional positions:
Cr1 0.000 0.000 0.000
Ga1 0.500 0.500 0.000
Cu1 0.000 0.500 0.500
Cu2 0.500 0.000 0.500
H1 0.000 0.000 0.500

Results
Density ... 7.7 g cm⁻³
Electronic total energy ... -4.7730 eV per atom
Crystal system ... tetragonal

## KCr2GaCu (PBE)

Data for KCr2GaCu after structural relaxation.

Cell lengths 5.069, 5.069, 4.746 Å; angles 90.00, 90.00, 90.00 degrees
Fractional positions:
K1 0.000 0.000 0.000
Cr1 0.000 0.500 0.500
Cr2 0.500 0.000 0.500
Ga1 0.500 0.500 0.500
Cu1 0.500 0.500 0.000

Results
E_form ... 0.83 eV/atom
Density ... 3.8 g cm⁻³
Electronic total energy ... -4.6671 eV per atom
Crystal system ... tetragonal

## MgCrGaCu (PBE)

Data for MgCrGaCu after structural relaxation.

Cell lengths 4.408, 4.408, 4.408 Å; angles 60.00, 60.00, 60.00 degrees
Fractional positions:
Mg1 0.000 0.000 0.000
Cr1 0.500 0.500 0.500
Ga1 0.750 0.750 0.750
Cu1 0.250 0.250 0.250

Results
E_form ... 0.05 eV/atom
Density ... 5.7 g cm⁻³
Electronic total energy ... -4.5341 eV per atom
Crystal system ... cubic

## MgCrGaCu2 (PBE)

Data for MgCrGaCu2 after structural relaxation.

Cell lengths 4.383, 4.383, 4.635 Å; angles 90.00, 90.00, 90.00 degrees
Fractional positions:
Mg1 0.000 0.000 0.000
Cr1 0.000 0.000 0.500
Ga1 0.500 0.500 0.500
Cu1 0.000 0.500 0.000
Cu2 0.500 0.000 0.000

Results
E_form ... 1.33 eV/atom
Density ... 5.1 g cm⁻³
Electronic total energy ... -3.1600 eV per atom
Crystal system ... tetragonal

## MgCr2GaCu (PBE)

Data for MgCr2GaCu after structural relaxation.

Cell lengths 4.739, 4.739, 4.851 Å; angles 90.00, 90.00, 90.00 degrees
Fractional positions:
Mg1 0.000 0.000 0.000
Cr1 0.000 0.500 0.500
Cr2 0.500 0.000 0.500
Ga1 0.000 0.000 0.500
Cu1 0.500 0.500 0.000

Results
E_form ... 0.99 eV/atom
Density ... 4.0 g cm⁻³
Electronic total energy ... -4.5986 eV per atom
Crystal system ... tetragonal